Material: V2RhO4
Method: DFT, GGA+U
State: optimized geometry

Properties
**Final energy**: -103.99 eV for the cell shown

a = 6.160 Å, b = 6.160 Å, c = 6.160 Å
α = 119.45°, β = 119.45°, γ = 90.96°
Positions (direct):
V  0.000  0.000  0.000
V  0.500  0.000  0.000
V  0.500  0.000  0.500
V  0.500  0.500  0.500
Rh  0.125  0.375  0.750
Rh  0.875  0.625  0.250
O  0.258  0.798  0.026
O  0.268  0.242  0.041
O  0.272  0.232  0.474
O  0.298  0.772  0.541
O  0.702  0.228  0.459
O  0.728  0.768  0.526
O  0.732  0.758  0.959
O  0.742  0.202  0.974